Record 1
First-principles (PBE-GGA) data for crystalline ZrNiHRh2 at its relaxed geometry, as listed in Alexandria.

CIF file:
```
data_ZrNiHRh2
_chemical_formula_sum 'Zr1 Ni1 H1 Rh2'
_cell_length_a 3.911
_cell_length_b 3.911
_cell_length_c 4.100
_cell_angle_alpha 90.00
_cell_angle_beta 90.00
_cell_angle_gamma 90.00
_space_group_name_H-M_alt 'P 1'
_space_group_IT_number 1
loop_
_space_group_symop_operation_xyz
'x,y,z'
loop_
_atom_site_label
_atom_site_fract_x
_atom_site_fract_y
_atom_site_fract_z
_atom_site_occupancy
Rh1 0.500 0.000 0.000 1
Rh2 0.000 0.500 0.000 1
H1 0.000 0.000 0.000 1
Ni1 0.500 0.500 0.500 1
Zr1 0.000 0.000 0.500 1
```

Output
VASP energy	-34.68	eV per cell
crystal system	tetragonal

---

Record 2
First-principles (PBE-GGA) data for crystalline Zr2NiHRh at its relaxed geometry, as listed in Alexandria.

CIF file:
```
data_Zr2NiHRh
_chemical_formula_sum 'Zr2 Ni1 H1 Rh1'
_cell_length_a 4.523
_cell_length_b 4.523
_cell_length_c 3.484
_cell_angle_alpha 90.00
_cell_angle_beta 90.00
_cell_angle_gamma 90.00
_space_group_name_H-M_alt 'P 1'
_space_group_IT_number 1
loop_
_space_group_symop_operation_xyz
'x,y,z'
loop_
_atom_site_label
_atom_site_fract_x
_atom_site_fract_y
_atom_site_fract_z
_atom_site_occupancy
H1 0.000 0.000 0.000 1
Ni1 0.000 0.000 0.500 1
Rh1 0.500 0.500 0.500 1
Zr1 0.000 0.500 0.000 1
Zr2 0.500 0.000 0.000 1
```

Output
VASP energy	-36.15	eV per cell
crystal system	tetragonal

---

Record 3
First-principles (PBE-GGA) data for crystalline Zr2NiHRh at its relaxed geometry, as listed in Alexandria.

CIF file:
```
data_Zr2NiHRh
_chemical_formula_sum 'Zr2 Ni1 H1 Rh1'
_cell_length_a 4.458
_cell_length_b 4.458
_cell_length_c 3.647
_cell_angle_alpha 90.00
_cell_angle_beta 90.00
_cell_angle_gamma 90.00
_space_group_name_H-M_alt 'P 1'
_space_group_IT_number 1
loop_
_space_group_symop_operation_xyz
'x,y,z'
loop_
_atom_site_label
_atom_site_fract_x
_atom_site_fract_y
_atom_site_fract_z
_atom_site_occupancy
Rh1 0.000 0.000 0.500 1
Ni1 0.500 0.500 0.500 1
Zr1 0.000 0.500 0.000 1
H1 0.000 0.000 0.000 1
Zr2 0.500 0.000 0.000 1
```

Output
VASP energy	-35.71	eV per cell
crystal system	tetragonal

---

Record 4
First-principles (PBE-GGA) data for crystalline ZrNi2HRh at its relaxed geometry, as listed in Alexandria.

CIF file:
```
data_ZrNi2HRh
_chemical_formula_sum 'Zr1 Ni2 H1 Rh1'
_cell_length_a 3.745
_cell_length_b 3.745
_cell_length_c 4.202
_cell_angle_alpha 90.00
_cell_angle_beta 90.00
_cell_angle_gamma 90.00
_space_group_name_H-M_alt 'P 1'
_space_group_IT_number 1
loop_
_space_group_symop_operation_xyz
'x,y,z'
loop_
_atom_site_label
_atom_site_fract_x
_atom_site_fract_y
_atom_site_fract_z
_atom_site_occupancy
Zr1 0.000 0.000 0.500 1
Ni1 0.500 0.000 0.000 1
Rh1 0.500 0.500 0.500 1
H1 0.000 0.000 0.000 1
Ni2 0.000 0.500 0.000 1
```

Output
VASP energy	-32.94	eV per cell
crystal system	tetragonal

---

Record 5
First-principles (PBE-GGA) data for crystalline ZrNiHRh2 at its relaxed geometry, as listed in Alexandria.

CIF file:
```
data_ZrNiHRh2
_chemical_formula_sum 'Zr1 Ni1 H1 Rh2'
_cell_length_a 4.015
_cell_length_b 4.015
_cell_length_c 3.826
_cell_angle_alpha 90.00
_cell_angle_beta 90.00
_cell_angle_gamma 90.00
_space_group_name_H-M_alt 'P 1'
_space_group_IT_number 1
loop_
_space_group_symop_operation_xyz
'x,y,z'
loop_
_atom_site_label
_atom_site_fract_x
_atom_site_fract_y
_atom_site_fract_z
_atom_site_occupancy
Rh1 0.500 0.000 0.000 1
Ni1 0.000 0.000 0.500 1
H1 0.000 0.000 0.000 1
Rh2 0.000 0.500 0.000 1
Zr1 0.500 0.500 0.500 1
```

Output
VASP energy	-35.18	eV per cell
crystal system	tetragonal

---

Record 6
First-principles (PBE-GGA) data for crystalline ZrNi2HRh at its relaxed geometry, as listed in Alexandria.

CIF file:
```
data_ZrNi2HRh
_chemical_formula_sum 'Zr1 Ni2 H1 Rh1'
_cell_length_a 3.832
_cell_length_b 3.832
_cell_length_c 3.974
_cell_angle_alpha 90.00
_cell_angle_beta 90.00
_cell_angle_gamma 90.00
_space_group_name_H-M_alt 'P 1'
_space_group_IT_number 1
loop_
_space_group_symop_operation_xyz
'x,y,z'
loop_
_atom_site_label
_atom_site_fract_x
_atom_site_fract_y
_atom_site_fract_z
_atom_site_occupancy
Ni1 0.000 0.500 0.000 1
Ni2 0.500 0.000 0.000 1
H1 0.000 0.000 0.000 1
Zr1 0.500 0.500 0.500 1
Rh1 0.000 0.000 0.500 1
```

Output
VASP energy	-33.14	eV per cell
crystal system	tetragonal

---

Table of calculated density (g cm⁻³), in record order: 9.44, 8.04, 7.90, 8.81, 9.60, 8.89
Table of distance to the lowest polymorph of the same formula (meV/atom), in record order: 100, 0, 89, 41, 0, 0